No. 1
VASP calculation (meta-GGA SCAN) on a crystal of ZrMnZn2 relaxed with PBEsol.

Output
DOS(E_F) in states/eV per cell: 2.15
Total magnetic moment in μB per formula unit: 3.62
Energy relative to the elements in eV/f.u.: -0.1
Space-group type: R-3m

Cell: 9.039 9.039 9.039 Å, 18.38 18.38 18.38°
Element x y z (fractional)
Zr  0.000  0.000  0.000
Mn  0.500  0.500  0.500
Zn  0.242  0.242  0.242
Zn  0.758  0.758  0.758

No. 2
VASP calculation (meta-GGA SCAN) on a crystal of ZrMnZn relaxed with PBEsol.

Output
DOS(E_F) in states/eV per cell: 1.82
Total magnetic moment in μB per formula unit: 3.08
Energy relative to the elements in eV/f.u.: -0.6
Space-group type: P-6m2

Cell: 4.316 4.316 3.023 Å, 90.00 90.00 120.00°
Element x y z (fractional)
Zr  0.000  0.000  0.000
Mn  0.667  0.333  0.500
Zn  0.333  0.667  0.500

No. 3
VASP calculation (meta-GGA SCAN) on a crystal of ZrMnZn relaxed with PBEsol.

Output
DOS(E_F) in states/eV per cell: 1.60
Total magnetic moment in μB per formula unit: 2.44
Energy relative to the elements in eV/f.u.: -0.6
Space-group type: I4mm

Cell: 4.995 4.995 4.995 Å, 141.74 141.74 55.22°
Element x y z (fractional)
Zr  0.000  0.000  0.000
Mn  0.673  0.673  0.000
Zn  0.314  0.314  0.000